# 1
Compound: CaSm5Tl4
Source: the Alexandria database
Functional: PBE
Structure: optimized geometry

Computed properties:
Theoretical density ... 7.63 g/cm3
E ... -35.2 eV per formula unit
Spin magnetization ... 0.00 Bohr magnetons per cell
ΔE to the lowest computed polymorph ... 0.261 eV per atom
DFT formation energy ... -12 meV per atom
Space group ... Pmmn (59)

abc: 7.6076 10.5838 8.7039
angles: 90.00 90.00 90.00
Last column: nearest neighbours and their distance in Å.
Sites, in units of the cell vectors:
Ca  0.2500  0.2500  0.2340  4 Tl 2.98-3.07
Ca  0.7500  0.7500  0.7660  4 Tl 2.98-3.07
Sm  0.0032  0.0518  0.7132  3 Tl 3.13-3.23
Sm  0.0032  0.4482  0.7132  3 Tl 3.13-3.23
Sm  0.2500  0.7500  0.8901  4 Tl 3.13-3.32
Sm  0.4968  0.0518  0.7132  3 Tl 3.13-3.23
Sm  0.4968  0.4482  0.7132  3 Tl 3.13-3.23
Sm  0.5032  0.5518  0.2868  3 Tl 3.13-3.23
Sm  0.5032  0.9482  0.2868  3 Tl 3.13-3.23
Sm  0.7500  0.2500  0.1099  4 Tl 3.13-3.32
Sm  0.9968  0.5518  0.2868  3 Tl 3.13-3.23
Sm  0.9968  0.9482  0.2868  3 Tl 3.13-3.23
Tl  0.0529  0.7500  0.5492  1 Ca 2.98, 1 Tl 3.00, 3 Sm 3.13-3.32
Tl  0.2500  0.0296  0.0054  1 Ca 3.07, 5 Sm 3.13-3.23
Tl  0.2500  0.4704  0.0054  1 Ca 3.07, 5 Sm 3.13-3.23
Tl  0.4471  0.7500  0.5492  1 Ca 2.98, 1 Tl 3.00, 3 Sm 3.13-3.32
Tl  0.5529  0.2500  0.4508  1 Ca 2.98, 1 Tl 3.00, 3 Sm 3.13-3.32
Tl  0.7500  0.5296  0.9946  1 Ca 3.07, 5 Sm 3.13-3.23
Tl  0.7500  0.9704  0.9946  1 Ca 3.07, 5 Sm 3.13-3.23
Tl  0.9471  0.2500  0.4508  1 Ca 2.98, 1 Tl 3.00, 3 Sm 3.13-3.32

# 2
Compound: CaSm8Tl6
Source: the Alexandria database
Functional: PBE
Structure: optimized geometry

Computed properties:
Theoretical density ... 8.30 g/cm3
E ... -56.5 eV per formula unit
Spin magnetization ... 0.00 Bohr magnetons per cell
DFT formation energy ... -169 meV per atom
Space group ... R-3 (148)

abc: 8.4685 8.4685 8.4685
angles: 66.99 66.99 66.99
Last column: nearest neighbours and their distance in Å.
Sites, in units of the cell vectors:
Ca  0.0000  0.0000  0.0000  6 Tl 3.34
Sm  0.1079  0.4405  0.7769  5 Tl 3.20-3.33
Sm  0.2231  0.8921  0.5595  5 Tl 3.20-3.33
Sm  0.3344  0.3344  0.3344  6 Tl 3.33-3.35
Sm  0.4405  0.7769  0.1079  5 Tl 3.20-3.33
Sm  0.5595  0.2231  0.8921  5 Tl 3.20-3.33
Sm  0.6656  0.6656  0.6656  6 Tl 3.33-3.35
Sm  0.7769  0.1079  0.4405  5 Tl 3.20-3.33
Sm  0.8921  0.5595  0.2231  5 Tl 3.20-3.33
Tl  0.0616  0.7280  0.3950  7 Sm 3.20-3.35, 1 Ca 3.34
Tl  0.2720  0.6050  0.9384  7 Sm 3.20-3.35, 1 Ca 3.34
Tl  0.3950  0.0616  0.7280  7 Sm 3.20-3.35, 1 Ca 3.34
Tl  0.6050  0.9384  0.2720  7 Sm 3.20-3.35, 1 Ca 3.34
Tl  0.7280  0.3950  0.0616  7 Sm 3.20-3.35, 1 Ca 3.34
Tl  0.9384  0.2720  0.6050  7 Sm 3.20-3.35, 1 Ca 3.34

# 3
Compound: Ca5SmTl3
Source: the Alexandria database
Functional: PBE
Structure: optimized geometry

Computed properties:
Theoretical density ... 5.63 g/cm3
E ... -24.6 eV per formula unit
Spin magnetization ... 0.00 Bohr magnetons per cell
DFT formation energy ... -303 meV per atom
Space group ... P6_3/mcm (193)

abc: 9.5520 9.5520 7.1985
angles: 90.00 90.00 120.00
Last column: nearest neighbours and their distance in Å.
Sites, in units of the cell vectors:
Ca  0.0000  0.3404  0.2500  3 Tl 3.16-3.24
Ca  0.0000  0.6596  0.7500  3 Tl 3.16-3.24
Ca  0.3333  0.6667  0.0000  8 Ca 3.60-3.63, 6 Tl 3.71
Ca  0.3333  0.6667  0.5000  8 Ca 3.60-3.63, 6 Tl 3.71
Ca  0.3404  0.0000  0.2500  3 Tl 3.16-3.24
Ca  0.3404  0.3404  0.7500  3 Tl 3.16-3.24
Ca  0.6596  0.0000  0.7500  3 Tl 3.16-3.24
Ca  0.6596  0.6596  0.2500  3 Tl 3.16-3.24
Ca  0.6667  0.3333  0.0000  8 Ca 3.60-3.63, 6 Tl 3.71
Ca  0.6667  0.3333  0.5000  8 Ca 3.60-3.63, 6 Tl 3.71
Sm  0.0000  0.0000  0.0000  6 Tl 3.55, 2 Sm 3.60, 6 Ca 3.72
Sm  0.0000  0.0000  0.5000  6 Tl 3.55, 2 Sm 3.60, 6 Ca 3.72
Tl  0.0000  0.3206  0.7500  3 Ca 3.16-3.24
Tl  0.0000  0.6794  0.2500  3 Ca 3.16-3.24
Tl  0.3206  0.0000  0.7500  3 Ca 3.16-3.24
Tl  0.3206  0.3206  0.2500  3 Ca 3.16-3.24
Tl  0.6794  0.0000  0.2500  3 Ca 3.16-3.24
Tl  0.6794  0.6794  0.7500  3 Ca 3.16-3.24

# 4
Compound: CaSmTl2
Source: the Alexandria database
Functional: PBE
Structure: optimized geometry

Computed properties:
Theoretical density ... 7.90 g/cm3
E ... -12.4 eV per formula unit
Spin magnetization ... 0.00 Bohr magnetons per cell
DFT formation energy ... -244 meV per atom
Space group ... R3m (160)

abc: 10.1513 10.1513 10.1513
angles: 21.76 21.76 21.76
Last column: nearest neighbours and their distance in Å.
Sites, in units of the cell vectors:
Ca  0.0000  0.0000  0.0000  6 Tl 3.31-3.34
Sm  0.8316  0.8316  0.8316  6 Tl 3.29-3.34
Tl  0.2494  0.2494  0.2494  3 Ca 3.34, 3 Sm 3.34
Tl  0.4162  0.4162  0.4162  3 Sm 3.29, 3 Ca 3.31

# 5
Compound: CaSmTl2
Source: the Alexandria database
Functional: PBE
Structure: optimized geometry

Computed properties:
Theoretical density ... 8.57 g/cm3
E ... -13.1 eV per formula unit
Spin magnetization ... 0.00 Bohr magnetons per cell
DFT formation energy ... -413 meV per atom
Space group ... P4/mmm (123)

abc: 3.8571 3.8571 7.8032
angles: 90.00 90.00 90.00
Last column: nearest neighbours and their distance in Å.
Sites, in units of the cell vectors:
Ca  0.0000  0.0000  0.0000  8 Tl 3.35
Sm  0.0000  0.0000  0.5000  8 Tl 3.36
Tl  0.5000  0.5000  0.2495  4 Ca 3.35, 4 Sm 3.36
Tl  0.5000  0.5000  0.7505  4 Ca 3.35, 4 Sm 3.36

# 6
Compound: Ca3SmTl12
Source: the Alexandria database
Functional: PBE
Structure: optimized geometry

Computed properties:
Theoretical density ... 9.93 g/cm3
E ... -43.0 eV per formula unit
Spin magnetization ... 0.00 Bohr magnetons per cell
DFT formation energy ... -243 meV per atom
Space group ... P4/mmm (123)

abc: 4.8792 4.8792 19.1346
angles: 90.00 90.00 90.00
Last column: nearest neighbours and their distance in Å.
Sites, in units of the cell vectors:
Ca  0.0000  0.0000  0.0000  12 Tl 3.42-3.45
Ca  0.0000  0.0000  0.2524  12 Tl 3.40-3.45
Ca  0.0000  0.0000  0.7476  12 Tl 3.40-3.45
Sm  0.0000  0.0000  0.5000  12 Tl 3.40-3.45
Tl  0.0000  0.5000  0.1256  8 Tl 3.42-3.45, 4 Ca 3.42-3.44
Tl  0.0000  0.5000  0.3760  2 Ca 3.40, 8 Tl 3.40-3.45, 2 Sm 3.40
Tl  0.0000  0.5000  0.6240  2 Ca 3.40, 8 Tl 3.40-3.45, 2 Sm 3.40
Tl  0.0000  0.5000  0.8744  8 Tl 3.42-3.45, 4 Ca 3.42-3.44
Tl  0.5000  0.0000  0.1256  8 Tl 3.42-3.45, 4 Ca 3.42-3.44
Tl  0.5000  0.0000  0.3760  2 Ca 3.40, 8 Tl 3.40-3.45, 2 Sm 3.40
Tl  0.5000  0.0000  0.6240  2 Ca 3.40, 8 Tl 3.40-3.45, 2 Sm 3.40
Tl  0.5000  0.0000  0.8744  8 Tl 3.42-3.45, 4 Ca 3.42-3.44
Tl  0.5000  0.5000  0.0000  8 Tl 3.42, 4 Ca 3.45
Tl  0.5000  0.5000  0.2507  8 Tl 3.42, 4 Ca 3.45
Tl  0.5000  0.5000  0.5000  8 Tl 3.40, 4 Sm 3.45
Tl  0.5000  0.5000  0.7493  8 Tl 3.42, 4 Ca 3.45

# 7
Compound: CaSmTl4
Source: the Alexandria database
Functional: PBE
Structure: optimized geometry

Computed properties:
Theoretical density ... 9.46 g/cm3
E ... -16.9 eV per formula unit
Spin magnetization ... 0.00 Bohr magnetons per cell
ΔE to the lowest computed polymorph ... 0.140 eV per atom
DFT formation energy ... -116 meV per atom
Space group ... F-43m (216)

abc: 6.3022 6.3022 6.3022
angles: 60.00 60.00 60.00
Last column: nearest neighbours and their distance in Å.
Sites, in units of the cell vectors:
Ca  0.0000  0.0000  0.0000  12 Tl 3.70, 4 Sm 3.86
Sm  0.2500  0.2500  0.2500  12 Tl 3.69, 4 Ca 3.86
Tl  0.1261  0.6246  0.6246  6 Tl 3.14-3.16
Tl  0.6246  0.1261  0.6246  6 Tl 3.14-3.16
Tl  0.6246  0.6246  0.1261  6 Tl 3.14-3.16
Tl  0.6246  0.6246  0.6246  6 Tl 3.14-3.16

# 8
Compound: Ca3Sm2Tl4
Source: the Alexandria database
Functional: PBE
Structure: optimized geometry

Computed properties:
Theoretical density ... 7.33 g/cm3
E ... -27.1 eV per formula unit
Spin magnetization ... 0.00 Bohr magnetons per cell
DFT formation energy ... -249 meV per atom
Space group ... Cmce (64)

abc: 10.2687 10.2687 8.2674
angles: 90.00 90.00 139.92
Last column: nearest neighbours and their distance in Å.
Sites, in units of the cell vectors:
Ca  0.0000  0.0000  0.0000  6 Tl 3.03-3.11
Ca  0.0132  0.4868  0.2500  5 Tl 3.17-3.31, 2 Ca 3.52
Ca  0.4868  0.0132  0.7500  5 Tl 3.17-3.31, 2 Ca 3.52
Ca  0.5000  0.5000  0.5000  6 Tl 3.03-3.11
Ca  0.5132  0.9868  0.2500  5 Tl 3.17-3.31, 2 Ca 3.52
Ca  0.9868  0.5132  0.7500  5 Tl 3.17-3.31, 2 Ca 3.52
Sm  0.0896  0.9104  0.4090  3 Tl 3.35
Sm  0.4104  0.5896  0.9090  3 Tl 3.35
Sm  0.5896  0.4104  0.0910  3 Tl 3.35
Sm  0.9104  0.0896  0.5910  3 Tl 3.35
Tl  0.1605  0.8395  0.0391  5 Ca 3.11-3.31, 1 Sm 3.35, 2 Tl 3.45
Tl  0.1805  0.3195  0.2500  3 Ca 3.03-3.23, 2 Sm 3.35
Tl  0.3195  0.1805  0.7500  3 Ca 3.03-3.23, 2 Sm 3.35
Tl  0.3395  0.6605  0.5391  5 Ca 3.11-3.31, 1 Sm 3.35, 2 Tl 3.45
Tl  0.6605  0.3395  0.4609  5 Ca 3.11-3.31, 1 Sm 3.35, 2 Tl 3.45
Tl  0.6805  0.8195  0.2500  3 Ca 3.03-3.23, 2 Sm 3.35
Tl  0.8195  0.6805  0.7500  3 Ca 3.03-3.23, 2 Sm 3.35
Tl  0.8395  0.1605  0.9609  5 Ca 3.11-3.31, 1 Sm 3.35, 2 Tl 3.45